Compound: Pr2In3Au6
Source: the Alexandria database
Functional: PBE
Structure: relaxed

Uncorrected energy, eV per cell: -85.1
Crystal system: orthorhombic

```
data_Pr2In3Au6
_chemical_formula_sum 'Pr4 In6 Au12'
_symmetry_space_group_name_H-M 'C m m m'
_symmetry_Int_Tables_number 65
_symmetry_space_group_name_Hall '-C 2 2'
_cell_length_a 9.813
_cell_length_b 13.158
_cell_length_c 4.113
_cell_angle_alpha 90.00
_cell_angle_beta 90.00
_cell_angle_gamma 90.00
loop_
_atom_site_label
_atom_site_type_symbol
_atom_site_fract_x
_atom_site_fract_y
_atom_site_fract_z
Pr1 Pr 0.198 0.000 0.000
In1 In 0.000 0.268 0.000
In2 In 0.000 0.500 0.500
Au1 Au 0.000 0.113 0.500
Au2 Au 0.194 0.344 0.500
```

***

Compound: Pr2InAu2
Source: the Alexandria database
Functional: PBE
Structure: relaxed

Uncorrected energy, eV per cell: -45.3
Crystal system: tetragonal

```
data_Pr2InAu2
_chemical_formula_sum 'Pr4 In2 Au4'
_symmetry_space_group_name_H-M 'P 4/m b m'
_symmetry_Int_Tables_number 127
_symmetry_space_group_name_Hall '-P 4 2ab'
_cell_length_a 8.142
_cell_length_b 8.142
_cell_length_c 3.967
_cell_angle_alpha 90.00
_cell_angle_beta 90.00
_cell_angle_gamma 90.00
loop_
_atom_site_label
_atom_site_type_symbol
_atom_site_fract_x
_atom_site_fract_y
_atom_site_fract_z
Pr1 Pr 0.173 0.327 0.000
In1 In 0.000 0.000 0.500
Au1 Au 0.127 0.627 0.500
```